# 1
# Al2HgMo

Crystalline Al2HgMo at its relaxed geometry (PBE-GGA, Alexandria via LeMat-Bulk).

Unit cell a=4.596 b=4.596 c=4.596 alpha=60.00 beta=60.00 gamma=60.00
Positions (direct):
1 Mo 0.750 0.750 0.750
2 Hg 0.500 0.500 0.500
3 Al 0.000 0.000 0.000
4 Al 0.250 0.250 0.250

Properties
V   68.7 Å³/f.u.
Theoretical density   8.5 g/cm3
Electronic total energy   -16.66 eV/cell
Formation energy from the elements   489 meV/atom
Total magnetization   0.00 μB per formula unit

---

# 2
# AlHg2Mo

Crystalline AlHg2Mo at its relaxed geometry (PBE-GGA, Alexandria via LeMat-Bulk).

Unit cell a=3.081 b=4.182 c=5.783 alpha=90.00 beta=90.00 gamma=90.00
Positions (direct):
1 Mo 0.500 0.500 0.250
2 Hg 0.000 0.000 0.001
3 Hg 0.000 0.000 0.499
4 Al 0.500 0.500 0.750

Properties
V   74.5 Å³/f.u.
Theoretical density   11.7 g/cm3
Electronic total energy   -13.16 eV/cell
Formation energy from the elements   503 meV/atom
Total magnetization   0.00 μB per formula unit

---

# 3
# AlHg2Mo

Crystalline AlHg2Mo at its relaxed geometry (PBE-GGA, Alexandria via LeMat-Bulk).

Unit cell a=4.123 b=4.123 c=4.309 alpha=90.00 beta=90.00 gamma=90.00
Positions (direct):
1 Mo 0.500 0.000 0.500
2 Hg 0.000 0.000 0.000
3 Hg 0.500 0.500 0.000
4 Al 0.000 0.500 0.500

Properties
V   73.3 Å³/f.u.
Theoretical density   11.9 g/cm3
Electronic total energy   -13.72 eV/cell
Formation energy from the elements   365 meV/atom
Total magnetization   1.01 μB per formula unit